1.
# RbGeAs3

A geometry-optimized RbGeAs3 structure (PBE, the Alexandria database).

Computed properties:
- V: 33.9 Å³ per atom
- Theoretical density: 3748 kg/m³
- DFT formation energy: -0.855 eV/f.u.
- Spin magnetization: 0.0 μB per formula unit

a = 6.9693 Å, b = 5.4888 Å, c = 8.9198 Å
α = 90.00°, β = 96.15°, γ = 90.00°
Space group P2_1 (No. 4)
Unique sites:
Rb  0.2427  0.0000  0.4082 x2
Ge  0.2182  0.4973  0.0146 x2
As  0.0526  0.1608  0.8526 x2
As  0.2396  0.7977  0.7981 x2
As  0.4511  0.4785  0.2373 x2

***

2.
# La2PmPr3Nd6

A geometry-optimized La2PmPr3Nd6 structure (PBE, the Alexandria database).

Computed properties:
- D(E_F): 20.45 states/eV/f.u.
- V: 35.9 Å³ per atom
- Theoretical density: 6603 kg/m³
- DFT formation energy: 0.160 eV/f.u.
- Spin magnetization: 0.0 μB per formula unit

a = 6.4152 Å, b = 11.1169 Å, c = 12.2582 Å
α = 90.00°, β = 100.16°, γ = 90.00°
Space group C2/m (No. 12)
Unique sites:
La  0.0000  0.1668  0.0000 x4
Pm  0.0000  0.5000  0.0000 x2
Pr  0.0000  0.0000  0.5000 x2
Pr  0.0000  0.3335  0.5000 x4
Nd  0.2493  0.5000  0.7497 x4
Nd  0.2502  0.1664  0.7498 x8

***

3.
# Pr3ErCd3

A geometry-optimized Pr3ErCd3 structure (PBE, the Alexandria database).

Computed properties:
- D(E_F): 7.70 states/eV/f.u.
- V: 30.9 Å³ per atom
- Theoretical density: 7127 kg/m³
- DFT formation energy: -0.756 eV/f.u.
- Spin magnetization: 0.0 μB per formula unit

a = 8.7748 Å, b = 11.3960 Å, c = 8.7127 Å
α = 90.00°, β = 97.31°, γ = 90.00°
Space group C2/m (No. 12)
Unique sites:
Pr  0.0000  0.1740  0.0000 x4
Pr  0.0000  0.2444  0.5000 x4
Pr  0.1386  0.5000  0.8674 x4
Er  0.2014  0.5000  0.4725 x4
Cd  0.0052  0.0000  0.7064 x4
Cd  0.2204  0.3291  0.2136 x8

***

4.
# SrHo2MoN4

A geometry-optimized SrHo2MoN4 structure (PBE, the Alexandria database).

Computed properties:
- D(E_F): 4.34 states/eV/f.u.
- V: 15.6 Å³ per atom
- Theoretical density: 7556 kg/m³
- Spin magnetization: 0.0 μB per formula unit
- Uncorrected formation energy: -1.09 eV per atom

a = 3.4155 Å, b = 12.1208 Å, c = 12.0912 Å
α = 90.00°, β = 90.00°, γ = 90.00°
Space group Cmcm (No. 63)
Unique sites:
Sr  0.0000  0.0792  0.2500 x4
Ho  0.0000  0.3720  0.0390 x8
Mo  0.0000  0.1828  0.7500 x4
N  0.0000  0.0000  0.0000 x4
N  0.0000  0.2604  0.6145 x8
N  0.0000  0.4141  0.2500 x4

***

no.,calculated total energy (Ry/atom)
1,-0.2997
2,-0.3515
3,-0.2352
4,-0.5853